1.
The following is a DFT calculation (GGA-PBE) of Sm2ScAgSe5 after structural relaxation.

Cell: 4.0666 8.8606 12.3067 Å, 90.00 90.00 103.27°
Positions (direct):
Se1 0.5039 0.0077 0.2713
Se2 0.3028 0.6056 0.3496
Se3 0.4961 0.9923 0.7713
Se4 0.2846 0.5691 0.6626
Se5 0.0497 0.0994 0.0790
Se6 0.3550 0.7100 0.0012
Se7 0.7154 0.4309 0.1626
Se8 0.9503 0.9006 0.5790
Se9 0.6972 0.3944 0.8496
Se10 0.6450 0.2900 0.5012
Ag1 0.4395 0.8789 0.4562
Ag2 0.5605 0.1211 0.9562
Sm1 0.1276 0.2551 0.3057
Sm2 0.8896 0.7791 0.1866
Sm3 0.8724 0.7449 0.8057
Sm4 0.1104 0.2209 0.6866
Sc1 0.8057 0.6113 0.5119
Sc2 0.1943 0.3887 0.0119

Total magnetic moment in μB per cell: 0.00
Formation energy (no corrections) in eV per atom: -1.476

=====

2.
The following is a DFT calculation (GGA-PBE) of Sr2SmSnS5 after structural relaxation.

Cell: 4.2170 8.9664 12.6332 Å, 90.00 90.00 103.60°
Positions (direct):
S1 0.9472 0.8943 0.5676
S2 0.0528 0.1057 0.0676
S3 0.5080 0.0160 0.2651
S4 0.6293 0.2587 0.4983
S5 0.3707 0.7413 0.9983
S6 0.3182 0.6364 0.3710
S7 0.6818 0.3636 0.8710
S8 0.4920 0.9840 0.7651
S9 0.7179 0.4358 0.1634
S10 0.2821 0.5642 0.6634
Sr1 0.8638 0.7276 0.8034
Sr2 0.1104 0.2207 0.6842
Sr3 0.1362 0.2724 0.3034
Sr4 0.8896 0.7793 0.1842
Sm1 0.7853 0.5706 0.5153
Sm2 0.2147 0.4294 0.0153
Sn1 0.4675 0.9350 0.4556
Sn2 0.5325 0.0650 0.9556

Total magnetic moment in μB per cell: 0.00
Formation energy (no corrections) in eV per atom: -1.575

=====

3.
The following is a DFT calculation (GGA-PBE) of Pb2AuI after structural relaxation.

Cell: 3.7876 3.7876 8.2205 Å, 90.00 90.00 90.00°
Positions (direct):
Pb1 0.0000 0.0000 0.2076
Pb2 0.0000 0.0000 0.7924
I1 0.5000 0.5000 0.5000
Au1 0.5000 0.5000 0.0000

Total magnetic moment in μB per cell: 0.00
Polymorph energy (0 for the lowest one) in meV/atom: 94
Formation energy (no corrections) in eV per atom: -0.100

=====

4.
The following is a DFT calculation (GGA-PBE) of Er5Ge2Te2 after structural relaxation.

Cell: 7.8315 7.7830 8.4764 Å, 117.33 90.00 90.00°
Positions (direct):
Ge1 0.3594 0.1430 0.0000
Ge2 0.6406 0.8570 0.0000
Ge3 0.1406 0.6430 0.0000
Ge4 0.8594 0.3570 0.0000
Er1 0.6617 0.2853 0.2501
Er2 0.3383 0.7147 0.7499
Er3 0.0000 0.0000 0.0000
Er4 0.8383 0.5353 0.7499
Er5 0.1617 0.2147 0.7499
Er6 0.1617 0.4647 0.2501
Er7 0.3383 0.9647 0.2501
Er8 0.8383 0.7853 0.2501
Er9 0.6617 0.0353 0.7499
Er10 0.5000 0.5000 0.0000
Te1 0.5000 0.2956 0.5912
Te2 0.0000 0.2044 0.4088
Te3 0.0000 0.7956 0.5912
Te4 0.5000 0.7044 0.4088

Total magnetic moment in μB per cell: 0.00
Formation energy (no corrections) in eV per atom: -1.017